The following is a PBE+U calculation of an optimized crystal structure of TbW2O8, from Alexandria.

Calculated values
calculated total energy: -7.16 eV per atom
magnetization: 0.00 Bohr magnetons per cell
D(E_F): 2.96 states/eV/f.u.

abc: 4.856 4.856 11.112
angles: 90.00 90.00 90.00
Space group I4/mmm (No. 139)
Symmetry-distinct sites (fractional):
Tb 0.000 0.000 0.000 (multiplicity 2)
W 0.000 0.500 0.250 (multiplicity 4)
O 0.248 0.248 0.145 (multiplicity 16)